1.
{"formula": "Hf2InNi2Sb", "functional": "PBE-GGA", "state": "relaxed", "polymorph_energy_ev_per_fu": 0.00, "space_group": "No. 122", "total_magnetization_mub_per_cell": 0.0, "lattice_angstrom": [[-3.0495, 3.0495, 6.1124], [3.0495, -3.0495, 6.1124], [3.0495, 3.0495, -6.1124]], "species": ["Hf", "Hf", "Hf", "Hf", "In", "In", "Ni", "Ni", "Ni", "Ni", "Sb", "Sb"], "frac_coords": [[0.2459, 0.2459, 0.0000], [0.5041, 0.0041, 0.5000], [0.7541, 0.7541, 0.0000], [0.9959, 0.4959, 0.5000], [0.0000, 0.0000, 0.0000], [0.7500, 0.2500, 0.5000], [0.1347, 0.6250, 0.0097], [0.3750, 0.3847, 0.5097], [0.6153, 0.1250, 0.9903], [0.8750, 0.8653, 0.4903], [0.2500, 0.7500, 0.5000], [0.5000, 0.5000, 0.0000]]}

2.
{"formula": "Nd2HfS5", "functional": "PBE-GGA", "state": "relaxed", "space_group": "No. 62", "total_magnetization_mub_per_cell": 0.0, "total_energy_ry_per_atom": -0.5084, "lattice_angstrom": [[11.5767, 0.0000, 0.0000], [0.0000, 7.9910, 0.0000], [0.0000, 0.0000, 7.3693]], "species": ["Nd", "Nd", "Nd", "Nd", "Nd", "Nd", "Nd", "Nd", "Hf", "Hf", "Hf", "Hf", "S", "S", "S", "S", "S", "S", "S", "S", "S", "S", "S", "S", "S", "S", "S", "S", "S", "S", "S", "S"], "frac_coords": [[0.1757, 0.0012, 0.0380], [0.1757, 0.4988, 0.0380], [0.3243, 0.5012, 0.5380], [0.3243, 0.9988, 0.5380], [0.6757, 0.0012, 0.4620], [0.6757, 0.4988, 0.4620], [0.8243, 0.5012, 0.9620], [0.8243, 0.9988, 0.9620], [0.0078, 0.7500, 0.5737], [0.4922, 0.2500, 0.0737], [0.5078, 0.7500, 0.9263], [0.9922, 0.2500, 0.4263], [0.0051, 0.7500, 0.9418], [0.0836, 0.0356, 0.6667], [0.0836, 0.4644, 0.6667], [0.1841, 0.7500, 0.3453], [0.2058, 0.2500, 0.3247], [0.2942, 0.7500, 0.8247], [0.3159, 0.2500, 0.8453], [0.4164, 0.5356, 0.1667], [0.4164, 0.9644, 0.1667], [0.4949, 0.2500, 0.4418], [0.5051, 0.7500, 0.5582], [0.5836, 0.0356, 0.8333], [0.5836, 0.4644, 0.8333], [0.6841, 0.7500, 0.1547], [0.7058, 0.2500, 0.1753], [0.7942, 0.7500, 0.6753], [0.8159, 0.2500, 0.6547], [0.9164, 0.5356, 0.3333], [0.9164, 0.9644, 0.3333], [0.9949, 0.2500, 0.0582]]}

3.
{"formula": "Rb2HfAg2S4", "functional": "PBE-GGA", "state": "relaxed", "space_group": "No. 21", "total_magnetization_mub_per_cell": 0.0, "total_energy_ry_per_atom": -0.3548, "lattice_angstrom": [[3.0636, -6.8195, 0.0000], [3.0636, 6.8195, 0.0000], [0.0000, 0.0000, 6.1078]], "species": ["Rb", "Rb", "Hf", "Ag", "Ag", "S", "S", "S", "S"], "frac_coords": [[0.0000, 0.5000, 0.2390], [0.5000, 0.0000, 0.7610], [0.0000, 0.0000, 0.5000], [0.0000, 0.0000, 0.0000], [0.5000, 0.5000, 0.5000], [0.1185, 0.3295, 0.7239], [0.3295, 0.1185, 0.2761], [0.6705, 0.8815, 0.2761], [0.8815, 0.6705, 0.7239]]}